No. 1
This record from Alexandria describes a relaxed CuSb2O4 crystal. The functional is PBEsol.

The structure belongs to space group P4_2bc (No. 106); the cell edges are 8.656, 8.656 and 5.817 Å and the angles 90.00°, 90.00° and 90.00°. The asymmetric unit holds Cu at (0.000, 0.500, 0.000), Sb at (0.151, 0.185, 0.248), O at (0.088, 0.374, 0.750) and O at (0.191, 0.693, 0.000).

Its uncorrected formation energy is -1.0543 eV per atom. For the total energy, the calculation gives -167.30 eV/cell. Its crystal system is tetragonal.

---

No. 2
This record from Alexandria describes a relaxed ScCuO2 crystal. The functional is PBEsol.

The structure belongs to space group R-3m (No. 166, hexagonal axes); the cell edges are 3.2008, 3.2008 and 16.9659 Å and the angles 90.00°, 90.00° and 120.00°. The asymmetric unit holds Sc at (0.0000, 0.0000, 0.0000), Cu at (0.0000, 0.0000, 0.5000) and O at (0.0000, 0.0000, 0.3931).

Its uncorrected formation energy is -2.3792 eV per atom. For the total energy, the calculation gives -92.86 eV/cell. Its crystal system is trigonal.

---

No. 3
This record from Alexandria describes a relaxed ScCuO2 crystal. The functional is PBEsol.

The structure belongs to space group P6_3/mmc (No. 194); the cell edges are 3.2016, 3.2016 and 11.3057 Å and the angles 90.00°, 90.00° and 120.00°. The asymmetric unit holds Sc at (0.0000, 0.0000, 0.0000), Cu at (0.3333, 0.6667, 0.2500) and O at (0.3333, 0.6667, 0.0896).

Its uncorrected formation energy is -2.3793 eV per atom. For the total energy, the calculation gives -61.91 eV/cell. Its crystal system is hexagonal.

---

No. 4
This record from Alexandria describes a relaxed ScZn2CuO crystal. The functional is PBEsol.

The structure belongs to space group P4/mmm (No. 123); the cell edges are 4.271, 4.271 and 3.983 Å and the angles 90.00°, 90.00° and 90.00°. The asymmetric unit holds Sc at (0.000, 0.000, 0.000), Zn at (0.000, 0.500, 0.500), Cu at (0.500, 0.500, 0.000) and O at (0.000, 0.000, 0.500).

Its uncorrected formation energy is -0.5992 eV per atom. For the total energy, the calculation gives -22.35 eV/cell. Its crystal system is tetragonal.